w.
Entry from Alexandria: a relaxed structure of Mn3OF5 (PBE with a Hubbard U).

Cell: 4.868 5.780 8.221 Å, 87.25 89.10 86.94°
Element x y z (fractional)
Mn (0.000, 0.000, 0.000)
Mn (0.001, 0.334, 0.664)
Mn (0.468, 0.847, 0.689)
Mn (0.500, 0.500, 0.000)
Mn (0.532, 0.153, 0.311)
Mn (0.999, 0.666, 0.336)
O (0.290, 0.782, 0.916)
O (0.710, 0.218, 0.084)
F (0.182, 0.974, 0.231)
F (0.193, 0.636, 0.568)
F (0.211, 0.280, 0.894)
F (0.312, 0.470, 0.222)
F (0.315, 0.142, 0.550)
F (0.685, 0.858, 0.450)
F (0.688, 0.530, 0.778)
F (0.789, 0.720, 0.106)
F (0.807, 0.364, 0.432)
F (0.818, 0.026, 0.769)

calculated density: 3.97 g cm⁻³
symmetry: P-1, No. 2

x.
Entry from Alexandria: a relaxed structure of Mn3OF5 (PBE with a Hubbard U).

Cell: 6.984 3.214 10.984 Å, 90.00 108.20 90.00°
Element x y z (fractional)
Mn (0.000, 0.000, 0.000)
Mn (0.152, 0.500, 0.345)
Mn (0.341, 0.000, 0.683)
Mn (0.510, 0.500, 0.023)
Mn (0.695, 0.000, 0.359)
Mn (0.847, 0.500, 0.698)
O (0.942, 0.500, 0.884)
O (0.982, 0.000, 0.348)
F (0.036, 0.000, 0.684)
F (0.068, 0.500, 0.131)
F (0.286, 0.500, 0.552)
F (0.314, 0.000, 0.022)
F (0.359, 0.000, 0.347)
F (0.406, 0.500, 0.817)
F (0.604, 0.500, 0.229)
F (0.650, 0.000, 0.689)
F (0.708, 0.000, 0.025)
F (0.742, 0.500, 0.496)

density of states at the Fermi level: 2.143 states/eV per cell
calculated density: 3.91 g cm⁻³
symmetry: Pm, No. 6

Which of them is least stable? Easy: x.

w.
Entry from Alexandria: a relaxed structure of Mn3O4F2 (PBE with a Hubbard U).

Cell: 7.701 4.610 5.544 Å, 90.00 93.49 90.00°
Element x y z (fractional)
Mn (0.000, 0.000, 0.000)
Mn (0.000, 0.500, 0.500)
Mn (0.340, 0.031, 0.332)
Mn (0.340, 0.469, 0.832)
Mn (0.660, 0.531, 0.168)
Mn (0.660, 0.969, 0.668)
O (0.109, 0.191, 0.296)
O (0.109, 0.309, 0.796)
O (0.441, 0.193, 0.628)
O (0.441, 0.307, 0.128)
O (0.559, 0.693, 0.872)
O (0.559, 0.807, 0.372)
O (0.891, 0.691, 0.204)
O (0.891, 0.809, 0.704)
F (0.246, 0.708, 0.541)
F (0.246, 0.792, 0.041)
F (0.754, 0.208, 0.959)
F (0.754, 0.292, 0.459)

density of states at the Fermi level: 4.205 states/eV per cell
calculated density: 4.51 g cm⁻³
symmetry: P2_1/c, No. 14

x.
Entry from Alexandria: a relaxed structure of Mn3O4F2 (PBE with a Hubbard U).

Cell: 4.657 5.556 7.645 Å, 86.63 89.77 89.12°
Element x y z (fractional)
Mn (0.000, 0.000, 0.000)
Mn (0.006, 0.331, 0.683)
Mn (0.460, 0.156, 0.342)
Mn (0.500, 0.500, 0.000)
Mn (0.540, 0.844, 0.658)
Mn (0.994, 0.669, 0.317)
O (0.186, 0.955, 0.227)
O (0.188, 0.301, 0.907)
O (0.306, 0.461, 0.237)
O (0.310, 0.131, 0.572)
O (0.690, 0.869, 0.428)
O (0.694, 0.539, 0.763)
O (0.812, 0.699, 0.093)
O (0.814, 0.045, 0.773)
F (0.187, 0.634, 0.562)
F (0.318, 0.813, 0.880)
F (0.682, 0.187, 0.120)
F (0.813, 0.366, 0.438)

density of states at the Fermi level: 4.847 states/eV per cell
calculated density: 4.49 g cm⁻³
symmetry: P-1, No. 2

y.
Entry from Alexandria: a relaxed structure of Mn3O4F2 (PBE with a Hubbard U).

Cell: 10.280 10.280 3.085 Å, 90.00 90.00 142.92°
Element x y z (fractional)
Mn (0.000, 0.000, 0.000)
Mn (0.160, 0.840, 0.500)
Mn (0.340, 0.660, 0.000)
Mn (0.500, 0.500, 0.500)
Mn (0.660, 0.340, 0.000)
Mn (0.840, 0.160, 0.500)
O (0.027, 0.359, 0.000)
O (0.063, 0.937, 0.500)
O (0.359, 0.027, 0.000)
O (0.401, 0.599, 0.500)
O (0.599, 0.401, 0.500)
O (0.641, 0.973, 0.000)
O (0.937, 0.063, 0.500)
O (0.973, 0.641, 0.000)
F (0.267, 0.733, 0.500)
F (0.308, 0.308, 0.000)
F (0.692, 0.692, 0.000)
F (0.733, 0.267, 0.500)

density of states at the Fermi level: 3.296 states/eV per cell
calculated density: 4.51 g cm⁻³
symmetry: Cmmm, No. 65

z.
Entry from Alexandria: a relaxed structure of Mn3O4F2 (PBE with a Hubbard U).

Cell: 4.671 5.566 7.754 Å, 84.03 85.29 85.39°
Element x y z (fractional)
Mn (0.000, 0.000, 0.000)
Mn (0.001, 0.675, 0.335)
Mn (0.463, 0.151, 0.321)
Mn (0.469, 0.821, 0.652)
Mn (0.483, 0.481, 0.002)
Mn (0.978, 0.320, 0.660)
O (0.190, 0.701, 0.105)
O (0.194, 0.034, 0.764)
O (0.202, 0.378, 0.436)
O (0.266, 0.880, 0.427)
O (0.296, 0.206, 0.111)
O (0.770, 0.941, 0.223)
O (0.774, 0.616, 0.555)
O (0.777, 0.274, 0.890)
F (0.272, 0.540, 0.764)
F (0.672, 0.108, 0.544)
F (0.675, 0.765, 0.886)
F (0.704, 0.431, 0.242)

density of states at the Fermi level: 1.581 states/eV per cell
calculated density: 4.45 g cm⁻³
symmetry: P1, No. 1

Which of them is least stable? Easy: y.

w.
Entry from Alexandria: a relaxed structure of Mn3O4F2 (PBE with a Hubbard U).

Cell: 4.646 4.646 9.184 Å, 90.00 90.00 90.00°
Element x y z (fractional)
Mn (0.000, 0.000, 0.000)
Mn (0.000, 0.000, 0.318)
Mn (0.000, 0.000, 0.682)
Mn (0.500, 0.500, 0.182)
Mn (0.500, 0.500, 0.500)
Mn (0.500, 0.500, 0.818)
O (0.195, 0.195, 0.165)
O (0.195, 0.195, 0.835)
O (0.305, 0.695, 0.335)
O (0.305, 0.695, 0.665)
O (0.695, 0.305, 0.335)
O (0.695, 0.305, 0.665)
O (0.805, 0.805, 0.165)
O (0.805, 0.805, 0.835)
F (0.182, 0.182, 0.500)
F (0.318, 0.682, 0.000)
F (0.682, 0.318, 0.000)
F (0.818, 0.818, 0.500)

density of states at the Fermi level: 2.146 states/eV per cell
calculated density: 4.47 g cm⁻³
symmetry: P4_2/mnm, No. 136

x.
Entry from Alexandria: a relaxed structure of Mn3O4F2 (PBE with a Hubbard U).

Cell: 5.517 5.526 7.269 Å, 73.53 72.30 70.88°
Element x y z (fractional)
Mn (0.000, 0.000, 0.000)
Mn (0.011, 0.019, 0.500)
Mn (0.339, 0.346, 0.176)
Mn (0.359, 0.295, 0.673)
Mn (0.650, 0.644, 0.835)
Mn (0.688, 0.697, 0.357)
O (0.117, 0.085, 0.715)
O (0.311, 0.692, 0.006)
O (0.374, 0.998, 0.339)
O (0.562, 0.541, 0.644)
O (0.656, 0.995, 0.670)
O (0.689, 0.303, 0.002)
O (0.918, 0.921, 0.289)
O (0.988, 0.393, 0.340)
F (0.036, 0.601, 0.679)
F (0.235, 0.241, 0.988)
F (0.453, 0.457, 0.358)
F (0.766, 0.752, 0.030)

density of states at the Fermi level: 1.825 states/eV per cell
calculated density: 4.54 g cm⁻³
symmetry: P1, No. 1

Which of them is least stable? Easy: w.

w.
Entry from Alexandria: a relaxed structure of Mn6OF11 (PBE with a Hubbard U).

Cell: 9.914 4.852 4.852 Å, 92.01 90.00 90.00°
Element x y z (fractional)
Mn (0.000, 0.000, 0.000)
Mn (0.155, 0.465, 0.465)
Mn (0.330, 0.974, 0.974)
Mn (0.500, 0.480, 0.480)
Mn (0.670, 0.974, 0.974)
Mn (0.845, 0.465, 0.465)
O (0.000, 0.267, 0.267)
F (0.000, 0.701, 0.701)
F (0.154, 0.169, 0.798)
F (0.154, 0.798, 0.169)
F (0.326, 0.671, 0.671)
F (0.333, 0.277, 0.277)
F (0.500, 0.165, 0.777)
F (0.500, 0.777, 0.165)
F (0.667, 0.277, 0.277)
F (0.674, 0.671, 0.671)
F (0.846, 0.169, 0.798)
F (0.846, 0.798, 0.169)

calculated density: 3.95 g cm⁻³
symmetry: Amm2, No. 38

x.
Entry from Alexandria: a relaxed structure of Mn6OF11 (PBE with a Hubbard U).

Cell: 5.915 5.915 7.628 Å, 105.86 105.86 72.72°
Element x y z (fractional)
Mn (0.000, 0.000, 0.000)
Mn (0.004, 0.004, 0.469)
Mn (0.335, 0.335, 0.831)
Mn (0.342, 0.342, 0.323)
Mn (0.673, 0.673, 0.654)
Mn (0.687, 0.687, 0.147)
O (0.911, 0.911, 0.183)
F (0.034, 0.648, 0.829)
F (0.097, 0.097, 0.795)
F (0.240, 0.240, 0.533)
F (0.309, 0.703, 0.492)
F (0.361, 0.980, 0.149)
F (0.451, 0.451, 0.124)
F (0.566, 0.566, 0.854)
F (0.648, 0.034, 0.829)
F (0.703, 0.309, 0.492)
F (0.773, 0.773, 0.448)
F (0.980, 0.361, 0.149)

density of states at the Fermi level: 0.286 states/eV per cell
calculated density: 3.84 g cm⁻³
symmetry: Cm, No. 8

Which of them is least stable? Easy: w.

w.
Entry from Alexandria: a relaxed structure of Mn6OF11 (PBE with a Hubbard U).

Cell: 5.288 5.288 15.547 Å, 91.64 91.64 87.44°
Element x y z (fractional)
Mn (0.234, 0.734, 0.663)
Mn (0.248, 0.752, 0.000)
Mn (0.250, 0.250, 0.829)
Mn (0.264, 0.264, 0.167)
Mn (0.266, 0.766, 0.337)
Mn (0.308, 0.308, 0.497)
Mn (0.692, 0.692, 0.503)
Mn (0.734, 0.234, 0.663)
Mn (0.736, 0.736, 0.833)
Mn (0.750, 0.750, 0.171)
Mn (0.752, 0.248, 0.000)
Mn (0.766, 0.266, 0.337)
O (0.498, 0.498, 0.581)
O (0.502, 0.502, 0.419)
F (0.004, 0.383, 0.575)
F (0.013, 0.469, 0.916)
F (0.025, 0.474, 0.257)
F (0.028, 0.028, 0.743)
F (0.032, 0.032, 0.084)
F (0.122, 0.122, 0.409)
F (0.383, 0.004, 0.575)
F (0.469, 0.013, 0.916)
F (0.474, 0.025, 0.257)
F (0.477, 0.477, 0.751)
F (0.486, 0.486, 0.082)
F (0.514, 0.514, 0.918)
F (0.523, 0.523, 0.249)
F (0.526, 0.975, 0.743)
F (0.531, 0.987, 0.084)
F (0.617, 0.996, 0.425)
F (0.878, 0.878, 0.591)
F (0.968, 0.968, 0.916)
F (0.972, 0.972, 0.257)
F (0.975, 0.526, 0.743)
F (0.987, 0.531, 0.084)
F (0.996, 0.617, 0.425)

calculated density: 4.24 g cm⁻³
symmetry: C2/m, No. 12

x.
Entry from Alexandria: a relaxed structure of Mn6OF11 (PBE with a Hubbard U).

Cell: 4.913 5.878 16.245 Å, 90.00 89.89 89.98°
Element x y z (fractional)
Mn (0.000, 0.000, 0.000)
Mn (0.000, 0.308, 0.500)
Mn (0.004, 0.976, 0.331)
Mn (0.015, 0.296, 0.842)
Mn (0.484, 0.801, 0.842)
Mn (0.499, 0.476, 0.329)
Mn (0.500, 0.422, 0.000)
Mn (0.500, 0.806, 0.500)
Mn (0.501, 0.476, 0.671)
Mn (0.516, 0.801, 0.158)
Mn (0.985, 0.296, 0.158)
Mn (0.996, 0.976, 0.669)
O (0.224, 0.223, 0.948)
O (0.776, 0.224, 0.052)
F (0.217, 0.010, 0.105)
F (0.220, 0.255, 0.269)
F (0.230, 0.251, 0.611)
F (0.231, 0.034, 0.441)
F (0.234, 0.032, 0.779)
F (0.248, 0.747, 0.953)
F (0.259, 0.533, 0.781)
F (0.268, 0.749, 0.611)
F (0.271, 0.533, 0.441)
F (0.282, 0.756, 0.271)
F (0.290, 0.512, 0.110)
F (0.710, 0.512, 0.890)
F (0.718, 0.756, 0.729)
F (0.729, 0.533, 0.559)
F (0.732, 0.749, 0.389)
F (0.741, 0.533, 0.219)
F (0.753, 0.748, 0.047)
F (0.766, 0.033, 0.221)
F (0.769, 0.034, 0.558)
F (0.770, 0.251, 0.389)
F (0.779, 0.255, 0.731)
F (0.783, 0.009, 0.895)

density of states at the Fermi level: 0.040 states/eV per cell
calculated density: 3.93 g cm⁻³
symmetry: P1, No. 1

y.
Entry from Alexandria: a relaxed structure of Mn6OF11 (PBE with a Hubbard U).

Cell: 4.911 5.901 8.228 Å, 87.87 89.15 88.92°
Element x y z (fractional)
Mn (0.000, 0.000, 0.000)
Mn (0.001, 0.331, 0.665)
Mn (0.018, 0.651, 0.325)
Mn (0.477, 0.507, 0.014)
Mn (0.484, 0.181, 0.329)
Mn (0.514, 0.822, 0.657)
O (0.277, 0.467, 0.237)
F (0.193, 0.296, 0.895)
F (0.193, 0.633, 0.550)
F (0.196, 0.939, 0.237)
F (0.306, 0.801, 0.891)
F (0.319, 0.126, 0.565)
F (0.684, 0.196, 0.099)
F (0.691, 0.529, 0.773)
F (0.727, 0.859, 0.422)
F (0.811, 0.384, 0.428)
F (0.813, 0.028, 0.762)
F (0.815, 0.694, 0.111)

calculated density: 3.87 g cm⁻³
symmetry: P1, No. 1

z.
Entry from Alexandria: a relaxed structure of Mn6OF11 (PBE with a Hubbard U).

Cell: 4.903 5.876 16.269 Å, 90.55 91.34 91.25°
Element x y z (fractional)
Mn (0.002, 0.343, 0.087)
Mn (0.008, 0.332, 0.418)
Mn (0.023, 0.671, 0.255)
Mn (0.480, 0.834, 0.411)
Mn (0.485, 0.164, 0.916)
Mn (0.487, 0.150, 0.252)
Mn (0.513, 0.850, 0.748)
Mn (0.515, 0.836, 0.084)
Mn (0.520, 0.166, 0.589)
Mn (0.977, 0.329, 0.745)
Mn (0.992, 0.668, 0.582)
Mn (0.998, 0.657, 0.913)
O (0.254, 0.879, 0.300)
O (0.746, 0.121, 0.700)
F (0.206, 0.374, 0.645)
F (0.210, 0.586, 0.799)
F (0.226, 0.629, 0.147)
F (0.231, 0.396, 0.975)
F (0.231, 0.406, 0.305)
F (0.234, 0.110, 0.805)
F (0.237, 0.603, 0.477)
F (0.264, 0.889, 0.975)
F (0.272, 0.108, 0.477)
F (0.284, 0.880, 0.639)
F (0.301, 0.128, 0.134)
F (0.699, 0.872, 0.866)
F (0.716, 0.120, 0.361)
F (0.728, 0.892, 0.523)
F (0.736, 0.111, 0.025)
F (0.763, 0.397, 0.523)
F (0.766, 0.890, 0.195)
F (0.769, 0.594, 0.695)
F (0.769, 0.604, 0.025)
F (0.774, 0.371, 0.853)
F (0.790, 0.414, 0.201)
F (0.794, 0.626, 0.355)

density of states at the Fermi level: 0.000 states/eV per cell
calculated density: 3.93 g cm⁻³
symmetry: P-1, No. 2

Which of them is least stable? Easy: z.